w.
Computed, not measured: a relaxed structure of ZrTaMo at the GGA-PBEsol level of DFT.

The structure in POSCAR format:
```
ZrTaMo
1.0
3.2657 0.0000 0.0000
0.0000 3.2657 0.0000
-1.6328 -1.6328 5.0804
Mo Zr Ta
1 1 1
Direct
0.0110 0.0110 0.0219
0.3401 0.3401 0.6802
0.6490 0.6490 0.2979
```

Values from the calculation:
Crystal system: tetragonal
ρ: 11.3 g/cm3
Volume: 18.1 Å³/atom

=====

x.
Computed, not measured: a relaxed structure of ZrTaMo at the GGA-PBEsol level of DFT.

The structure in POSCAR format:
```
ZrTaMo
1.0
-3.0472 0.4384 -0.5829
0.9905 -2.7213 1.1962
-0.8135 2.3504 6.0208
Ta Mo Zr
1 1 1
Direct
0.3333 0.6667 0.6936
0.0000 0.0000 0.9868
0.6667 0.3333 0.3196
```

Values from the calculation:
Crystal system: trigonal
ρ: 11.0 g/cm3
Volume: 18.5 Å³/atom

=====

Computed stability ranking, most favorable first: w, x